5
Lattice="5.302 0.000 0.000 0.000 5.302 0.000 0.000 0.000 5.302" Properties=species:S:1:pos:R:3 comment="LiI3F PBE relaxed" formation_energy_uncorrected_ev_per_atom=-0.16 spacegroup="No. 221" pbc="T T T"
I 0.000 2.651 0.000
I 0.000 0.000 2.651
I 2.651 0.000 0.000
Li 0.000 0.000 0.000
F 2.651 2.651 2.651


5
Lattice="5.158 0.000 0.000 0.000 5.158 0.000 0.000 0.000 5.158" Properties=species:S:1:pos:R:3 comment="YZrAu3 PBE relaxed" spacegroup="No. 221" e_form_ev_per_atom=0.145 pbc="T T T"
Y 2.579 2.579 2.579
Au 0.000 2.579 0.000
Au 0.000 0.000 2.579
Au 2.579 0.000 0.000
Zr 0.000 0.000 0.000


4
Lattice="5.807 0.000 0.000 2.903 5.029 0.000 2.903 1.676 4.741" Properties=species:S:1:pos:R:3 comment="Ba2TlAs PBE relaxed" spacegroup="No. 216" e_form_ev_per_atom=-0.225 pbc="T T T"
As 5.807 3.353 2.371
Tl 8.710 5.029 3.556
Ba 0.000 0.000 0.000
Ba 2.903 1.676 1.185


8
Lattice="-7.397 0.911 -10.410 3.758 -11.669 -3.691 -3.703 -6.381 -5.800" Properties=species:S:1:pos:R:3 comment="Rb2PSe PBE relaxed" formation_energy_uncorrected_ev_per_atom=-0.19 spacegroup="No. 122" pbc="T T T"
P -1.819 -5.379 -7.050
P -0.882 -11.714 -8.270
Se 0.000 0.000 0.000
Se -6.459 -5.425 -11.630
Rb -6.694 -2.286 -10.691
Rb -5.283 -8.063 -13.194
Rb -4.962 -6.272 -8.831
Rb -8.898 -5.079 -13.803


7
Lattice="-4.655 -0.718 5.416 -2.196 -3.943 -5.581 6.485 -2.239 2.107" Properties=species:S:1:pos:R:3 comment="La6In PBE relaxed" spacegroup="No. 229" e_form_ev_per_atom=1.023 pbc="T T T"
La 0.432 -4.256 -1.778
La -2.353 -3.876 -0.951
La 2.602 -3.830 0.144
La -0.798 -2.644 3.720
La 1.987 -3.024 2.893
La -2.968 -3.070 1.798
In 0.000 0.000 0.000


4
Lattice="-4.157 -2.325 -2.005 2.284 -2.655 -3.800 1.382 -0.098 4.979" Properties=species:S:1:pos:R:3 comment="LiSc2Pb PBE relaxed" spacegroup="No. 139" e_form_ev_per_atom=-0.240 pbc="T T T"
Pb -1.856 -2.456 0.035
Sc 0.000 0.000 0.000
Sc -0.937 -2.490 -2.903
Li 1.365 -2.622 -0.862


| no. | calculated total energy (eV/atom) | ρ (g/cm3) |
| --- | --- | --- |
| 1 | -1.84 | 4.53 |
| 2 | -4.82 | 9.33 |
| 3 | -2.94 | 6.64 |
| 4 | -2.90 | 2.30 |
| 5 | -3.59 | 5.53 |
| 6 | -4.81 | 5.72 |